Entry 1:
Computed, not measured: an optimized crystal structure of Ho3ZnTe2 at the PBE-GGA level of DFT. Values from VASP.

Values from the calculation:
distance to the lowest polymorph of the same formula: 0.00 eV per formula unit
space group: Immm, No. 71
crystal system: orthorhombic
formation energy (no corrections): -5.60 eV/f.u.

Quantum ESPRESSO input file:
```
&SYSTEM
  ibrav = 0, nat = 12, ntyp = 3
/
ATOMIC_SPECIES
Ho 164.93 Ho.upf
Zn 65.41 Zn.upf
Te 127.60 Te.upf
CELL_PARAMETERS angstrom
4.121 0.000 0.000
0.000 6.067 0.000
0.000 0.000 13.282
ATOMIC_POSITIONS crystal
Ho 0.000 0.000 0.000
Ho 0.000 0.000 0.346
Ho 0.000 0.000 0.654
Ho 0.500 0.500 0.154
Ho 0.500 0.500 0.500
Ho 0.500 0.500 0.846
Zn 0.000 0.500 0.000
Zn 0.500 0.000 0.500
Te 0.000 0.500 0.327
Te 0.000 0.500 0.673
Te 0.500 0.000 0.173
Te 0.500 0.000 0.827
```

---

Entry 2:
Computed, not measured: an optimized crystal structure of Ho6ZnTe2 at the PBE-GGA level of DFT. Values from VASP.

Values from the calculation:
space group: P4_2/mnm, No. 136
crystal system: tetragonal
formation energy (no corrections): -2.61 eV/f.u.

Quantum ESPRESSO input file:
```
&SYSTEM
  ibrav = 0, nat = 18, ntyp = 3
/
ATOMIC_SPECIES
Ho 164.93 Ho.upf
Zn 65.41 Zn.upf
Te 127.60 Te.upf
CELL_PARAMETERS angstrom
6.889 0.000 0.000
0.000 6.889 0.000
0.000 0.000 12.754
ATOMIC_POSITIONS crystal
Ho 0.197 0.197 0.161
Ho 0.197 0.197 0.839
Ho 0.222 0.222 0.500
Ho 0.278 0.722 0.000
Ho 0.303 0.697 0.339
Ho 0.303 0.697 0.661
Ho 0.697 0.303 0.339
Ho 0.697 0.303 0.661
Ho 0.722 0.278 0.000
Ho 0.778 0.778 0.500
Ho 0.803 0.803 0.161
Ho 0.803 0.803 0.839
Zn 0.000 0.000 0.000
Zn 0.500 0.500 0.500
Te 0.000 0.000 0.339
Te 0.000 0.000 0.661
Te 0.500 0.500 0.161
Te 0.500 0.500 0.839
```

---

Entry 3:
Computed, not measured: an optimized crystal structure of Ho6ZnTe4 at the PBE-GGA level of DFT. Values from VASP.

Values from the calculation:
space group: R-3c, No. 167
crystal system: trigonal
formation energy (no corrections): -8.98 eV/f.u.

Quantum ESPRESSO input file:
```
&SYSTEM
  ibrav = 0, nat = 22, ntyp = 3
/
ATOMIC_SPECIES
Ho 164.93 Ho.upf
Zn 65.41 Zn.upf
Te 127.60 Te.upf
CELL_PARAMETERS angstrom
5.995 3.461 4.854
-5.995 3.461 4.854
0.000 -6.922 4.854
ATOMIC_POSITIONS crystal
Ho 0.060 0.927 0.688
Ho 0.073 0.312 0.940
Ho 0.188 0.427 0.560
Ho 0.312 0.940 0.073
Ho 0.427 0.560 0.188
Ho 0.440 0.812 0.573
Ho 0.560 0.188 0.427
Ho 0.573 0.440 0.812
Ho 0.688 0.060 0.927
Ho 0.812 0.573 0.440
Ho 0.927 0.688 0.060
Ho 0.940 0.073 0.312
Zn 0.000 0.000 0.000
Zn 0.500 0.500 0.500
Te 0.131 0.750 0.369
Te 0.250 0.250 0.250
Te 0.250 0.631 0.869
Te 0.369 0.131 0.750
Te 0.631 0.869 0.250
Te 0.750 0.369 0.131
Te 0.750 0.750 0.750
Te 0.869 0.250 0.631
```

---

Entry 4:
Computed, not measured: an optimized crystal structure of Ho5Zn2Te at the PBE-GGA level of DFT. Values from VASP.

Values from the calculation:
space group: I4/mcm, No. 140
crystal system: tetragonal
formation energy (no corrections): -3.90 eV/f.u.

Quantum ESPRESSO input file:
```
&SYSTEM
  ibrav = 0, nat = 16, ntyp = 3
/
ATOMIC_SPECIES
Ho 164.93 Ho.upf
Zn 65.41 Zn.upf
Te 127.60 Te.upf
CELL_PARAMETERS angstrom
-4.061 4.061 6.259
4.061 -4.061 6.259
4.061 4.061 -6.259
ATOMIC_POSITIONS crystal
Ho 0.000 0.000 0.000
Ho 0.010 0.510 0.805
Ho 0.204 0.010 0.500
Ho 0.296 0.796 0.805
Ho 0.490 0.296 0.500
Ho 0.500 0.500 0.000
Ho 0.510 0.704 0.500
Ho 0.704 0.204 0.195
Ho 0.796 0.990 0.500
Ho 0.990 0.490 0.195
Zn 0.142 0.358 0.500
Zn 0.358 0.858 0.216
Zn 0.642 0.142 0.784
Zn 0.858 0.642 0.500
Te 0.250 0.250 0.000
Te 0.750 0.750 0.000
```

---

Entry 5:
Computed, not measured: an optimized crystal structure of Ho5ZnTe4 at the PBE-GGA level of DFT. Values from VASP.

Values from the calculation:
space group: I4, No. 79
crystal system: tetragonal
formation energy (no corrections): -10.94 eV/f.u.

Quantum ESPRESSO input file:
```
&SYSTEM
  ibrav = 0, nat = 10, ntyp = 3
/
ATOMIC_SPECIES
Ho 164.93 Ho.upf
Zn 65.41 Zn.upf
Te 127.60 Te.upf
CELL_PARAMETERS angstrom
-4.823 4.823 3.043
4.823 -4.823 3.043
4.823 4.823 -3.043
ATOMIC_POSITIONS crystal
Ho 0.000 0.000 0.000
Ho 0.222 0.596 0.820
Ho 0.403 0.222 0.627
Ho 0.596 0.776 0.373
Ho 0.776 0.403 0.180
Zn 0.500 0.500 0.000
Te 0.090 0.306 0.397
Te 0.306 0.909 0.216
Te 0.693 0.090 0.784
Te 0.909 0.693 0.603
```

---

Entry 6:
Computed, not measured: an optimized crystal structure of HoZr2Te6 at the PBE-GGA level of DFT. Values from VASP.

Values from the calculation:
space group: P4_2/mnm, No. 136
crystal system: tetragonal
formation energy (no corrections): -7.23 eV/f.u.

Quantum ESPRESSO input file:
```
&SYSTEM
  ibrav = 0, nat = 18, ntyp = 3
/
ATOMIC_SPECIES
Ho 164.93 Ho.upf
Zr 91.22 Zr.upf
Te 127.60 Te.upf
CELL_PARAMETERS angstrom
7.085 0.000 0.000
0.000 7.085 0.000
0.000 0.000 12.513
ATOMIC_POSITIONS crystal
Ho 0.000 0.000 0.000
Ho 0.500 0.500 0.500
Zr 0.000 0.000 0.334
Zr 0.000 0.000 0.666
Zr 0.500 0.500 0.166
Zr 0.500 0.500 0.834
Te 0.198 0.198 0.500
Te 0.207 0.207 0.175
Te 0.207 0.207 0.825
Te 0.293 0.707 0.325
Te 0.293 0.707 0.675
Te 0.302 0.698 0.000
Te 0.698 0.302 0.000
Te 0.707 0.293 0.325
Te 0.707 0.293 0.675
Te 0.793 0.793 0.175
Te 0.793 0.793 0.825
Te 0.802 0.802 0.500
```

---

Entry 7:
Computed, not measured: an optimized crystal structure of HoZrTe at the PBE-GGA level of DFT. Values from VASP.

Values from the calculation:
space group: P-6m2, No. 187
crystal system: hexagonal
formation energy (no corrections): -1.00 eV/f.u.

Quantum ESPRESSO input file:
```
&SYSTEM
  ibrav = 0, nat = 3, ntyp = 3
/
ATOMIC_SPECIES
Ho 164.93 Ho.upf
Zr 91.22 Zr.upf
Te 127.60 Te.upf
CELL_PARAMETERS angstrom
4.961 0.000 0.000
-2.481 4.297 0.000
0.000 0.000 3.763
ATOMIC_POSITIONS crystal
Ho 0.000 0.000 0.000
Zr 0.667 0.333 0.500
Te 0.333 0.667 0.500
```

---

Entry 8:
Computed, not measured: an optimized crystal structure of Ho2ZrTe4 at the PBE-GGA level of DFT. Values from VASP.

Values from the calculation:
space group: C2/m, No. 12
crystal system: monoclinic
formation energy (no corrections): -8.30 eV/f.u.

Quantum ESPRESSO input file:
```
&SYSTEM
  ibrav = 0, nat = 14, ntyp = 3
/
ATOMIC_SPECIES
Ho 164.93 Ho.upf
Zr 91.22 Zr.upf
Te 127.60 Te.upf
CELL_PARAMETERS angstrom
15.540 0.000 0.000
0.000 4.258 0.000
-3.582 0.000 6.619
ATOMIC_POSITIONS crystal
Ho 0.250 0.000 0.234
Ho 0.250 0.500 0.766
Ho 0.750 0.000 0.766
Ho 0.750 0.500 0.234
Zr 0.000 0.000 0.000
Zr 0.500 0.500 0.000
Te 0.114 0.000 0.781
Te 0.120 0.500 0.292
Te 0.380 0.000 0.708
Te 0.386 0.500 0.219
Te 0.614 0.500 0.781
Te 0.620 0.000 0.292
Te 0.880 0.500 0.708
Te 0.886 0.000 0.219
```